PBE-GGA Lu2ThMg, relaxed; space-group type = P4/mmm (123); excess energy over the best structure of this formula in the dataset = 93 meV/atom; calculated formation energy = 0.26 eV/f.u.
1.0
4.846 0.000 0.000
0.000 4.846 0.000
0.000 0.000 4.915
Lu Th Mg
2 1 1
direct
0.000 0.500 0.000
0.500 0.000 0.000
0.000 0.000 0.500
0.500 0.500 0.500

=====

PBE-GGA CaSmMg2Hg4, relaxed; space-group type = R-3m (166); calculated formation energy = -3.56 eV/f.u.
1.0
2.554 1.475 8.466
-2.554 1.475 8.466
0.000 -2.949 8.466
Ca Sm Mg Hg
1 1 2 4
direct
0.000 0.000 0.000
0.500 0.500 0.500
0.250 0.250 0.250
0.750 0.750 0.750
0.124 0.124 0.124
0.375 0.375 0.375
0.625 0.625 0.625
0.876 0.876 0.876

=====

PBE-GGA Pr4Al2Ga, relaxed; space-group type = R-3m (166); calculated formation energy = -1.86 eV/f.u.
1.0
2.630 1.518 8.549
-2.630 1.518 8.549
0.000 -3.036 8.549
Pr Al Ga
4 2 1
direct
0.121 0.121 0.121
0.373 0.373 0.373
0.627 0.627 0.627
0.879 0.879 0.879
0.249 0.249 0.249
0.751 0.751 0.751
0.500 0.500 0.500

=====

PBE-GGA La5Hg, relaxed; space-group type = Cm (8); excess energy over the best structure of this formula in the dataset = 11 meV/atom; calculated formation energy = -0.93 eV/f.u.
1.0
6.401 -1.928 0.000
6.401 1.928 0.000
-3.098 0.000 8.380
La Hg
5 1
direct
0.000 0.000 0.000
0.001 0.001 0.584
0.367 0.367 0.234
0.671 0.671 0.377
0.706 0.706 0.880
0.321 0.321 0.679

=====

PBE-GGA AcTbLuHg, relaxed; space-group type = F-43m (216); calculated formation energy = 0.32 eV/f.u.
1.0
0.000 3.921 3.921
3.921 0.000 3.921
3.921 3.921 0.000
Ac Tb Lu Hg
1 1 1 1
direct
0.000 0.000 0.000
0.750 0.750 0.750
0.250 0.250 0.250
0.500 0.500 0.500

=====

PBE-GGA Rb2PmPuS4, relaxed; E = -51.00 eV/cell; space-group type = P2/m (10)
1.0
7.241 0.000 0.000
0.000 4.176 0.000
-2.416 0.000 7.673
Rb Pm Pu S
2 1 1 4
direct
0.000 0.000 0.000
0.500 0.500 0.000
0.000 0.500 0.500
0.500 0.000 0.500
0.234 0.000 0.696
0.274 0.500 0.309
0.726 0.500 0.691
0.766 0.000 0.304